CrCd2P: PBEsol geometry, SCAN.

Calculated values
Formation enthalpy at 0 K (eV/atom): 0.200
Size of the total moment (μB/f.u.): 4.34

Cell: 3.6547 3.6547 5.3479 Å, 90.00 90.00 90.00°
Space group P4/mmm (No. 123)
Asymmetric unit:
Cr  0.0000  0.0000  0.0000
Cd  0.5000  0.5000  0.2514
P  0.0000  0.0000  0.5000